Density functional theory data (SCAN) for K2B6H2O11 at its PBEsol-relaxed geometry.

```
K2B6H2O11
1.0
6.656 0.000 0.000
0.000 9.021 0.042
0.000 -0.573 15.846
O B K H
44 24 8 8
Direct
0.008 0.577 0.208
0.156 0.924 0.819
0.765 0.720 0.965
0.019 0.697 0.863
0.936 0.829 0.187
0.207 0.598 0.422
0.865 0.740 0.599
0.508 0.923 0.292
0.564 0.329 0.687
0.707 0.902 0.078
0.234 0.191 0.258
0.135 0.260 0.401
0.734 0.309 0.242
0.245 0.360 0.891
0.954 0.776 0.454
0.492 0.077 0.708
0.046 0.224 0.546
0.387 0.235 0.508
0.365 0.760 0.901
0.113 0.735 0.008
0.546 0.276 0.954
0.255 0.860 0.391
0.755 0.640 0.109
0.064 0.171 0.813
0.844 0.076 0.181
0.519 0.803 0.637
0.981 0.303 0.137
0.436 0.671 0.313
0.766 0.809 0.742
0.793 0.402 0.578
0.344 0.424 0.319
0.613 0.765 0.492
0.992 0.423 0.792
0.635 0.240 0.099
0.293 0.098 0.922
0.265 0.780 0.535
0.235 0.280 0.035
0.745 0.140 0.609
0.656 0.576 0.681
0.887 0.265 0.992
0.266 0.691 0.758
0.454 0.724 0.046
0.735 0.220 0.465
0.481 0.197 0.363
0.101 0.319 0.834
0.184 0.239 0.483
0.176 0.063 0.853
0.816 0.761 0.517
0.536 0.216 0.447
0.327 0.254 0.951
0.036 0.284 0.053
0.316 0.739 0.983
0.676 0.437 0.647
0.899 0.681 0.166
0.673 0.746 0.049
0.324 0.563 0.353
0.209 0.770 0.835
0.827 0.246 0.549
0.291 0.270 0.335
0.399 0.819 0.334
0.684 0.261 0.017
0.709 0.730 0.665
0.791 0.230 0.165
0.964 0.716 0.947
0.824 0.937 0.147
0.464 0.784 0.553
0.173 0.754 0.451
0.601 0.181 0.666
0.078 0.986 0.657
0.156 0.513 0.630
0.922 0.014 0.343
0.844 0.487 0.370
0.656 0.987 0.870
0.422 0.486 0.157
0.344 0.013 0.130
0.578 0.514 0.843
0.519 0.975 0.683
0.481 0.025 0.317
0.635 0.257 0.277
0.981 0.475 0.183
0.365 0.743 0.723
0.135 0.243 0.223
0.865 0.757 0.777
0.019 0.525 0.817
```

Computed properties:
The calculation puts the density at 2.24 g cm⁻³. The value obtained for the total energy is -8.92 eV per atom. As for the density of states at the Fermi level: 0.000 states/eV/cell.